Computed, not measured: an optimized crystal structure of HgAs2Ir at the PBE level of DFT.

Unit cell a=3.0090 b=3.0090 c=9.5236 alpha=90.00 beta=90.00 gamma=90.00
Space group P4/mmm (No. 123)
Asymmetric unit:
1 Hg 0.0000 0.0000 0.0000 (multiplicity 1)
2 As 0.5000 0.5000 0.3305 (multiplicity 2)
3 Ir 0.0000 0.0000 0.5000 (multiplicity 1)



Computed, not measured: an optimized crystal structure of Ce2NdOs at the PBE level of DFT.

Calculated values
Energy above the lowest structure with this stoichiometry = 135 meV/atom

Unit cell a=3.5253 b=3.5253 c=8.6459 alpha=90.00 beta=90.00 gamma=90.00
Space group P4/mmm (No. 123)
Asymmetric unit:
1 Ce 0.0000 0.0000 0.1880 (multiplicity 2)
2 Nd 0.5000 0.5000 0.5000 (multiplicity 1)
3 Os 0.5000 0.5000 0.0000 (multiplicity 1)



The evaluated E for the records listed, in turn: -4.55, -6.96 eV/atom.
The evaluated formation enthalpy at 0 K for the records listed, in turn: 0.066, 0.010 eV per atom.
The evaluated density of states at the Fermi level for the records listed, in turn: 3.15, 10.19 states/eV/f.u..